# TlMo2Cl7O2 PBE with a Hubbard U optimized geometry
# ΔE to the lowest computed polymorph   0 meV/atom
# Calculated volume   707 Å³/cell
# Total magnetic moment   0.17 μB per atom
# D(E_F)   0.000 states/eV per cell
data_TlMo2Cl7O2
_symmetry_space_group_name_H-M 'P m m n'
_symmetry_Int_Tables_number 59
_cell_length_a 7.1753
_cell_length_b 9.8105
_cell_length_c 10.0387
_cell_angle_alpha 90.00
_cell_angle_beta 90.00
_cell_angle_gamma 90.00
loop_
_symmetry_equiv_pos_as_xyz
'x,y,z'
'-x,-y,-z'
'-x+1/2,-y+1/2,z'
'x+1/2,y+1/2,-z'
'x+1/2,-y,-z'
'-x+1/2,y,z'
'-x,y+1/2,-z'
'x,-y+1/2,z'
loop_
_atom_site_label
_atom_site_fract_x
_atom_site_fract_y
_atom_site_fract_z
Tl1 0.2500 0.2500 0.0174
Mo1 0.2500 0.5702 0.6989
Cl1 0.0151 0.0486 0.8144
Cl2 0.0175 0.7500 0.6290
Cl3 0.2500 0.7500 0.9011
O1 0.2500 0.0077 0.5482

# TlMo2Cl7O2 PBE with a Hubbard U optimized geometry
# ΔE to the lowest computed polymorph   9 meV/atom
# Calculated volume   662 Å³/cell
# Total magnetic moment   0.17 μB per atom
# D(E_F)   0.000 states/eV per cell
data_TlMo2Cl7O2
_symmetry_space_group_name_H-M 'P -1'
_symmetry_Int_Tables_number 2
_symmetry_space_group_name_Hall '-P 1'
_cell_length_a 7.2745
_cell_length_b 9.6667
_cell_length_c 10.2775
_cell_angle_alpha 102.64
_cell_angle_beta 91.20
_cell_angle_gamma 109.29
loop_
_atom_site_label
_atom_site_fract_x
_atom_site_fract_y
_atom_site_fract_z
Tl1 0.2242 0.2628 0.4357
Mo1 0.2255 0.6482 0.2940
Mo2 0.3720 0.1200 0.9000
Cl1 0.0864 0.8443 0.3467
Cl2 0.1042 0.8941 0.8405
Cl3 0.2547 0.6567 0.5259
Cl4 0.2845 0.7008 0.0653
Cl5 0.4131 0.0909 0.1254
Cl6 0.4258 0.0969 0.6654
Cl7 0.4621 0.5223 0.2723
O1 0.0198 0.4980 0.2341
O2 0.2609 0.2500 0.9302

# TmMoClO4 PBE with a Hubbard U optimized geometry
# Calculated volume   485 Å³/cell
# Total magnetic moment   0.00 μB per atom
# VASP energy   -7.03 eV/atom
# D(E_F)   0.000 states/eV per cell
data_TmMoClO4
_symmetry_space_group_name_H-M 'C 1 2/m 1'
_symmetry_Int_Tables_number 12
_symmetry_space_group_name_Hall '-C 2y'
_cell_length_a 10.2087
_cell_length_b 7.2404
_cell_length_c 6.8838
_cell_angle_alpha 90.00
_cell_angle_beta 107.56
_cell_angle_gamma 90.00
loop_
_atom_site_label
_atom_site_fract_x
_atom_site_fract_y
_atom_site_fract_z
Tm1 0.2220 0.0000 0.1136
Mo1 0.1382 0.5000 0.2691
Cl1 0.0107 0.0000 0.7695
O1 0.0448 0.5000 0.8002
O2 0.2012 0.3070 0.1541
O3 0.2070 0.5000 0.5378

# Y3MoCl2O6 PBE with a Hubbard U optimized geometry
# Calculated volume   409 Å³/cell
# Total magnetic moment   0.08 μB per atom
# VASP energy   -7.43 eV/atom
data_Y3MoCl2O6
_symmetry_space_group_name_H-M 'C 1 2/m 1'
_symmetry_Int_Tables_number 12
_symmetry_space_group_name_Hall '-C 2y'
_cell_length_a 11.5109
_cell_length_b 6.5708
_cell_length_c 5.5006
_cell_angle_alpha 90.00
_cell_angle_beta 100.31
_cell_angle_gamma 90.00
loop_
_atom_site_label
_atom_site_fract_x
_atom_site_fract_y
_atom_site_fract_z
Y1 0.0000 0.0000 0.0000
Y2 0.2500 0.2500 0.5000
Mo1 0.0000 0.5000 0.5000
Cl1 0.2072 0.0000 0.8525
O1 0.0590 0.2606 0.2980
O2 0.1673 0.5000 0.6677

# ZnMoCl2O PBE with a Hubbard U optimized geometry
# Calculated volume   95 Å³/cell
# Total magnetic moment   0.40 μB per atom
# VASP energy   -3.42 eV/atom
# D(E_F)   0.632 states/eV per cell
data_ZnMoCl2O
_symmetry_space_group_name_H-M 'P 4/m m m'
_symmetry_Int_Tables_number 123
_symmetry_space_group_name_Hall '-P 4 2'
_cell_length_a 5.0747
_cell_length_b 5.0747
_cell_length_c 3.6802
_cell_angle_alpha 90.00
_cell_angle_beta 90.00
_cell_angle_gamma 90.00
loop_
_atom_site_label
_atom_site_fract_x
_atom_site_fract_y
_atom_site_fract_z
Zn1 0.0000 0.0000 0.0000
Mo1 0.5000 0.5000 0.5000
Cl1 0.0000 0.5000 0.0000
O1 0.0000 0.0000 0.5000